AgTeCl: relaxed, PBE.

POSCAR file:
```
AgTeCl
1.0
11.5346 0.0000 0.0000
0.0000 6.0456 0.0000
-1.5690 0.0000 5.8321
Ag Te Cl
4 4 4
Cartesian
0.0170 1.5117 0.0048
-0.7675 1.5111 2.9208
10.7331 4.5345 2.9113
9.9486 4.5338 5.8273
4.1969 1.5130 5.8311
4.9814 1.5097 2.9151
5.7687 4.5325 0.0010
4.9842 4.5358 2.9170
1.1525 3.0328 1.8740
0.3680 6.0356 4.7900
9.5976 0.0100 1.0421
8.8131 3.0128 3.9581
```

Energy relative to the lowest polymorph listed for this composition (meV per atom): 73
SG: No. 14
Calculated total energy (eV/atom): -2.8043
Total magnetization (μB per atom): 0.00
Formation energy (no corrections) (meV per atom): -191

***

In7Pb5: relaxed, PBE.

POSCAR file:
```
In7Pb5
1.0
3.3986 0.0000 0.0000
0.0000 10.2082 0.0000
0.0000 0.0000 10.0998
In Pb
7 5
Cartesian
0.0000 0.0000 0.0000
0.0000 0.0000 4.8596
0.0000 3.3905 10.0040
0.0000 6.8177 10.0040
1.6993 1.6787 2.3794
1.6993 5.1041 7.5660
1.6993 8.5295 2.3794
0.0000 3.3750 4.9663
0.0000 6.8332 4.9663
1.6993 1.7073 7.5208
1.6993 5.1041 2.3615
1.6993 8.5009 7.5208
```

SG: No. 25
Calculated total energy (eV/atom): -3.1238
Total magnetization (μB per atom): 0.00

***

MnIn3Ir: relaxed, PBE.

POSCAR file:
```
MnIn3Ir
1.0
4.9313 0.0000 0.0000
0.0000 4.9313 0.0000
0.0000 0.0000 4.9313
Mn In Ir
1 3 1
Cartesian
0.0000 0.0000 0.0000
0.0000 0.0000 2.4656
0.0000 2.4656 0.0000
2.4656 0.0000 0.0000
2.4656 2.4656 2.4656
```

Energy relative to the lowest polymorph listed for this composition (meV per atom): 579
SG: No. 221
Calculated total energy (eV/atom): -4.2754
Total magnetization (μB per atom): 0.71

***

TbPrMnZn: relaxed, PBE.

POSCAR file:
```
TbPrMnZn
1.0
7.2691 0.0000 0.0000
0.0000 7.2691 0.0000
0.0000 0.0000 7.2691
Tb Pr Mn Zn
4 4 4 4
Cartesian
0.0000 0.0000 0.0000
0.0000 3.6345 3.6345
3.6345 0.0000 3.6345
3.6345 3.6345 0.0000
0.0000 0.0000 3.6345
0.0000 3.6345 0.0000
3.6345 0.0000 0.0000
3.6345 3.6345 3.6345
1.8173 1.8173 5.4518
1.8173 5.4518 1.8173
5.4518 1.8173 1.8173
5.4518 5.4518 5.4518
1.8173 1.8173 1.8173
1.8173 5.4518 5.4518
5.4518 1.8173 5.4518
5.4518 5.4518 1.8173
```

SG: No. 216
Calculated total energy (eV/atom): -4.9648
Total magnetization (μB per atom): 0.77

***

La3TbHo3: relaxed, PBE.

POSCAR file:
```
La3TbHo3
1.0
4.7293 2.7305 6.2563
-4.7293 2.7305 6.2563
0.0000 -5.4609 6.2563
La Tb Ho
6 2 6
Cartesian
-3.3325 1.1547 7.7136
-2.6663 -2.3087 11.0554
0.6663 -3.4634 7.7136
-0.6663 3.4634 11.0554
2.6663 2.3087 7.7136
3.3325 -1.1547 11.0554
0.0000 0.0000 7.6678
0.0000 0.0000 11.1012
-1.9840 -0.4165 4.8928
1.3527 -1.5099 4.8928
0.6313 1.9264 4.8928
-0.6313 -1.9264 13.8762
-1.3527 1.5099 13.8762
1.9840 0.4165 13.8762
```

SG: No. 148
Calculated total energy (eV/atom): -4.6015
Total magnetization (μB per atom): 0.00

***

CeHo4Th: relaxed, PBE.

POSCAR file:
```
CeHo4Th
1.0
8.4262 -2.7612 0.0000
8.4262 2.7612 0.0000
-5.5263 0.0000 7.9362
Ce Ho Th
2 8 2
Cartesian
3.8715 0.0000 0.4641
7.4546 0.0000 7.4721
-4.5349 0.0000 6.6597
1.9584 0.0000 3.2229
1.5464 0.0000 6.8538
6.5188 0.0000 2.6010
4.8074 0.0000 5.3352
9.7798 0.0000 1.0825
9.3678 0.0000 4.7134
15.8610 0.0000 1.2765
-1.3306 0.0000 4.8673
12.6568 0.0000 3.0689
```

Energy relative to the lowest polymorph listed for this composition (meV per atom): 59
SG: No. 12
Calculated total energy (eV/atom): -5.2114
Total magnetization (μB per atom): 0.09

***

MgSi: relaxed, PBE.

POSCAR file:
```
MgSi
1.0
5.6821 0.0000 0.0000
-0.0458 5.9785 0.0000
-1.1906 -1.9179 13.4771
Mg Si
12 12
Cartesian
0.0000 0.0000 0.0000
-0.7959 1.7228 8.8566
-0.0271 -1.2607 8.9515
0.6055 1.2952 2.6006
1.1397 4.1947 4.3252
0.5292 1.7605 11.5647
1.5739 -1.2283 11.6041
2.0244 -0.5571 6.9458
2.7373 2.4273 6.8848
3.4751 1.0570 4.3252
3.9987 4.1044 2.5370
3.4147 1.0980 13.2911
-0.0659 3.2957 6.5853
0.9977 4.0418 1.6175
0.7886 1.2843 5.2657
1.8305 2.0721 0.3637
2.7950 5.0551 0.3562
2.1000 0.5722 9.4582
2.2168 3.0034 9.4873
3.6478 1.0852 1.6311
3.8709 4.2534 5.2103
4.0038 -0.0161 10.8740
4.1030 3.5043 10.8973
4.7677 0.1943 6.5770
```

SG: No. 1
Calculated total energy (eV/atom): -3.4728
Total magnetization (μB per atom): 0.00
Formation energy (no corrections) (meV per atom): 36

***

KZrOs4: relaxed, PBE.

POSCAR file:
```
KZrOs4
1.0
0.0000 3.7649 3.7649
3.7649 0.0000 3.7649
3.7649 3.7649 0.0000
K Zr Os
1 1 4
Cartesian
0.0000 0.0000 0.0000
1.8825 1.8825 1.8825
4.7029 2.8270 2.8270
2.8270 4.7029 2.8270
2.8270 2.8270 4.7029
4.7029 4.7029 4.7029
```

SG: No. 216
Calculated total energy (eV/atom): -8.5639
Total magnetization (μB per atom): 0.00

***

Pr4Dy2Y5: relaxed, PBE.

POSCAR file:
```
Pr4Dy2Y5
1.0
12.0699 -1.7709 0.0000
12.0699 1.7709 0.0000
-1.4442 0.0000 8.8957
Pr Dy Y
4 2 5
Cartesian
0.3838 0.0000 1.6863
7.5297 0.0000 8.5657
15.1658 0.0000 0.3299
22.3117 0.0000 7.2094
1.4413 0.0000 6.2125
21.2543 0.0000 2.6832
3.7180 0.0000 3.5948
4.4072 0.0000 7.3291
11.3478 0.0000 4.4478
18.2884 0.0000 1.5665
18.9776 0.0000 5.3009
```

Energy relative to the lowest polymorph listed for this composition (meV per atom): 113
SG: No. 12
Calculated total energy (eV/atom): -5.2982
Total magnetization (μB per atom): 0.00

***

ZrTa2Cl: relaxed, PBE.

POSCAR file:
```
ZrTa2Cl
1.0
3.8243 0.0000 0.0000
0.0000 3.8243 0.0000
0.0000 0.0000 10.4208
Zr Ta Cl
2 4 2
Cartesian
0.0000 0.0000 0.0000
1.9121 1.9121 5.2104
0.0000 1.9121 2.6052
0.0000 1.9121 7.8156
1.9121 0.0000 2.6052
1.9121 0.0000 7.8156
0.0000 0.0000 5.2104
1.9121 1.9121 0.0000
```

Energy relative to the lowest polymorph listed for this composition (meV per atom): 604
SG: No. 139
Calculated total energy (eV/atom): -8.1207
Total magnetization (μB per atom): 0.00
Formation energy (no corrections) (meV per atom): 404

***

ErTm2Zn: relaxed, PBE.

POSCAR file:
```
ErTm2Zn
1.0
4.6868 0.0000 0.0000
0.0000 4.6868 0.0000
0.0000 0.0000 4.6875
Er Tm Zn
1 2 1
Cartesian
0.0000 0.0000 0.0000
0.0000 2.3434 2.3437
2.3434 0.0000 2.3437
2.3434 2.3434 0.0000
```

Energy relative to the lowest polymorph listed for this composition (meV per atom): 135
SG: No. 123
Calculated total energy (eV/atom): -3.7236
Total magnetization (μB per atom): 0.00

***

AlCdFe2: relaxed, PBE.

POSCAR file:
```
AlCdFe2
1.0
8.9659 0.0000 0.0000
0.0000 2.7187 0.0000
-0.7135 0.0000 4.8097
Al Cd Fe
2 2 4
Cartesian
0.0000 0.0000 0.0000
4.4829 1.3593 0.0000
1.6617 0.0000 3.4136
6.1447 1.3593 3.4136
1.9882 1.3593 1.0495
4.0562 0.0000 2.1406
6.4711 0.0000 1.0495
8.5392 1.3593 2.1406
```

Energy relative to the lowest polymorph listed for this composition (meV per atom): 103
SG: No. 8
Calculated total energy (eV/atom): -5.2433
Total magnetization (μB per atom): 1.18

***

Please write out number 8 again, unchanged.
KZrOs4: relaxed, PBE.

POSCAR file:
```
KZrOs4
1.0
0.0000 3.7649 3.7649
3.7649 0.0000 3.7649
3.7649 3.7649 0.0000
K Zr Os
1 1 4
Cartesian
0.0000 0.0000 0.0000
1.8825 1.8825 1.8825
4.7029 2.8270 2.8270
2.8270 4.7029 2.8270
2.8270 2.8270 4.7029
4.7029 4.7029 4.7029
```

SG: No. 216
Calculated total energy (eV/atom): -8.5639
Total magnetization (μB per atom): 0.00

***

Among the records above, which one has the lowest calculated total energy?
KZrOs4

***

What is the formula in the first record?
AgTeCl